[1]
The following is a GGA-PBE calculation of crystalline InBSbMo2 at its relaxed geometry, from the Alexandria database.

Summary:
Uncorrected formation energy   1.971 eV/atom

Cell and atoms, written as POSCAR:
```
InBSbMo2
1.0
5.210 0.000 0.000
0.000 3.984 0.000
0.000 0.000 5.210
Sb Mo B In
1 2 1 1
direct
0.500 0.500 0.500
0.000 0.000 0.500
0.500 0.000 0.000
0.000 0.500 0.000
0.000 0.000 0.000
```

***

[2]
The following is a GGA-PBE calculation of crystalline BaNpFeS4 at its relaxed geometry, from the Alexandria database.

Summary:
Uncorrected formation energy   -1.210 eV/atom

Cell and atoms, written as POSCAR:
```
BaNpFeS4
1.0
6.432 0.000 -0.055
0.000 6.191 0.000
-2.591 0.000 8.181
Ba Np Fe S
2 2 2 8
direct
0.742 0.750 0.939
0.258 0.250 0.061
0.761 0.750 0.447
0.239 0.250 0.553
0.234 0.750 0.326
0.766 0.250 0.674
0.014 0.509 0.715
0.986 0.009 0.285
0.986 0.491 0.285
0.014 0.991 0.715
0.424 0.750 0.149
0.576 0.250 0.851
0.432 0.750 0.586
0.568 0.250 0.414
```

***

[3]
The following is a GGA-PBE calculation of crystalline Ca2Ga2Ni at its relaxed geometry, from the Alexandria database.

Summary:
Energy relative to the elements   -273.8 meV/atom
ΔE to the lowest computed polymorph   0.168 eV per atom

Cell and atoms, written as POSCAR:
```
Ca2Ga2Ni
1.0
-1.835 0.740 6.455
2.692 -6.018 1.455
4.173 2.095 0.946
Ni Ca Ga
2 4 4
direct
0.000 0.000 0.000
0.500 0.500 0.000
0.177 0.677 0.500
0.677 0.823 0.500
0.823 0.323 0.500
0.323 0.177 0.500
0.363 0.863 0.000
0.863 0.637 0.000
0.637 0.137 0.000
0.137 0.363 0.000
```

***

[4]
The following is a GGA-PBE calculation of crystalline NiMo2Se at its relaxed geometry, from the Alexandria database.

Summary:
Uncorrected formation energy   0.257 eV/atom

Cell and atoms, written as POSCAR:
```
NiMo2Se
1.0
-3.516 3.694 0.334
-2.787 0.895 -4.189
1.314 -3.575 3.407
Mo Ni Se
2 1 1
direct
0.019 0.019 0.000
0.481 0.481 0.000
0.750 0.250 0.500
0.250 0.750 0.500
```

***

[5]
The following is a GGA-PBE calculation of crystalline SmGaGe at its relaxed geometry, from the Alexandria database.

Summary:
Energy relative to the elements   -577.8 meV/atom

Cell and atoms, written as POSCAR:
```
SmGaGe
1.0
-4.173 0.163 -0.230
-0.089 -5.614 -2.376
-0.333 0.415 6.343
Ga Sm Ge
2 2 2
direct
0.250 0.744 0.614
0.750 0.256 0.386
0.750 0.167 0.825
0.250 0.833 0.175
0.750 0.651 0.806
0.250 0.349 0.194
```

***

[6]
The following is a GGA-PBE calculation of crystalline Cd2BiTe at its relaxed geometry, from the Alexandria database.

Summary:
Uncorrected formation energy   -0.065 eV/atom
ΔE to the lowest computed polymorph   0.000 eV per atom

Cell and atoms, written as POSCAR:
```
Cd2BiTe
1.0
-4.378 -2.749 -4.439
-0.593 -5.493 3.987
-7.386 -1.336 2.883
Te Bi Cd
2 2 4
direct
0.500 0.500 0.000
0.250 0.750 0.500
0.000 0.000 0.000
0.750 0.250 0.500
0.618 0.125 0.250
0.132 0.625 0.250
0.375 0.382 0.750
0.875 0.868 0.750
```

***

[7]
The following is a GGA-PBE calculation of crystalline CsK3Hg3 at its relaxed geometry, from the Alexandria database.

Summary:
Energy relative to the elements   -34.6 meV/atom
ΔE to the lowest computed polymorph   0.157 eV per atom

Cell and atoms, written as POSCAR:
```
CsK3Hg3
1.0
9.552 0.000 0.000
0.000 9.552 0.000
0.000 0.000 9.552
Cs K Hg
2 6 6
direct
0.500 0.500 0.500
0.000 0.000 0.000
0.000 0.250 0.500
0.000 0.750 0.500
0.500 0.000 0.750
0.750 0.500 0.000
0.500 0.000 0.250
0.250 0.500 0.000
0.250 0.000 0.500
0.000 0.500 0.250
0.500 0.750 0.000
0.750 0.000 0.500
0.000 0.500 0.750
0.500 0.250 0.000
```

***

[8]
The following is a GGA-PBE calculation of crystalline Ho5Zn3 at its relaxed geometry, from the Alexandria database.

Summary:
Energy relative to the elements   -249.5 meV/atom

Cell and atoms, written as POSCAR:
```
Ho5Zn3
1.0
3.555 0.000 0.000
0.000 3.555 0.000
0.000 0.000 15.680
Ho Zn
5 3
direct
0.000 0.000 0.224
0.500 0.500 0.611
0.500 0.500 0.389
0.000 0.000 0.776
0.000 0.000 0.000
0.500 0.500 0.113
0.500 0.500 0.887
0.000 0.000 0.500
```

***

[9]
The following is a GGA-PBE calculation of crystalline LaSm2Y at its relaxed geometry, from the Alexandria database.

Summary:
Energy relative to the elements   22.6 meV/atom
ΔE to the lowest computed polymorph   0.015 eV per atom

Cell and atoms, written as POSCAR:
```
LaSm2Y
1.0
-0.323 -3.482 -1.035
2.021 0.691 -2.956
8.534 -2.361 5.281
Y Sm La
1 2 1
direct
0.500 0.500 0.500
0.000 0.000 0.745
0.000 0.000 0.255
0.500 0.500 0.000
```

***

[10]
The following is a GGA-PBE calculation of crystalline CsCaHgF2 at its relaxed geometry, from the Alexandria database.

Summary:
Uncorrected formation energy   -1.248 eV/atom

Cell and atoms, written as POSCAR:
```
CsCaHgF2
1.0
-0.430 -0.745 -5.215
-5.278 -3.364 0.916
-2.881 4.414 -0.392
Cs Ca Hg F
1 1 1 2
direct
0.000 0.000 0.000
0.500 0.500 0.500
0.000 0.500 0.000
0.000 0.000 0.500
0.500 0.000 0.000
```

***

[11]
The following is a GGA-PBE calculation of crystalline La2BeSiNi6 at its relaxed geometry, from the Alexandria database.

Summary:
Uncorrected formation energy   -0.385 eV/atom

Cell and atoms, written as POSCAR:
```
La2BeSiNi6
1.0
6.014 -0.006 0.018
-0.010 6.090 -0.061
3.016 3.000 4.256
La Be Si Ni
2 1 1 6
direct
0.710 0.132 0.579
0.290 0.868 0.421
0.500 0.500 0.000
0.000 0.000 0.000
0.259 0.360 0.485
0.744 0.639 0.101
0.158 0.642 0.102
0.842 0.358 0.898
0.256 0.361 0.899
0.741 0.640 0.515
```

***

[12]
The following is a GGA-PBE calculation of crystalline B5C at its relaxed geometry, from the Alexandria database.

Summary:
Energy relative to the elements   232.2 meV/atom
ΔE to the lowest computed polymorph   0.035 eV per atom

Cell and atoms, written as POSCAR:
```
B5C
1.0
-1.666 1.793 -1.375
-4.049 -2.184 2.057
1.429 4.486 4.119
B C
10 2
direct
0.500 0.717 0.322
0.500 0.363 0.207
0.500 0.637 0.043
0.500 0.283 0.928
0.000 0.683 0.620
0.000 0.317 0.630
0.000 0.406 0.371
0.000 0.166 0.137
0.000 0.834 0.113
0.000 0.594 0.879
0.500 0.156 0.671
0.500 0.844 0.579
```

***

[13]
The following is a GGA-PBE calculation of crystalline BaCuSb2 at its relaxed geometry, from the Alexandria database.

Summary:
Uncorrected formation energy   -0.383 eV/atom

Cell and atoms, written as POSCAR:
```
BaCuSb2
1.0
5.648 0.000 0.000
0.000 5.648 0.000
2.824 2.824 8.630
Sb Ba Cu
4 2 2
direct
0.467 0.125 0.250
0.283 0.625 0.250
0.375 0.533 0.750
0.875 0.717 0.750
0.000 0.000 0.000
0.750 0.250 0.500
0.500 0.500 0.000
0.250 0.750 0.500
```

***

[14]
The following is a GGA-PBE calculation of crystalline Sr2LaAl at its relaxed geometry, from the Alexandria database.

Summary:
Energy relative to the elements   167.7 meV/atom

Cell and atoms, written as POSCAR:
```
Sr2LaAl
1.0
8.286 0.002 0.006
-3.215 5.442 -0.002
1.855 1.098 3.279
Sr Al La
2 1 1
direct
0.000 0.000 0.000
0.500 0.000 0.500
0.000 0.500 0.500
0.500 0.500 0.000
```

***

[15]
The following is a GGA-PBE calculation of crystalline SbPt2Cl at its relaxed geometry, from the Alexandria database.

Summary:
Uncorrected formation energy   0.258 eV/atom
ΔE to the lowest computed polymorph   0.431 eV per atom

Cell and atoms, written as POSCAR:
```
SbPt2Cl
1.0
-2.960 1.250 3.831
1.317 -5.432 -0.419
2.300 -0.446 2.029
Cl Pt Sb
1 2 1
direct
0.500 0.500 0.000
0.000 0.000 0.000
0.500 0.000 0.500
0.000 0.500 0.500
```

***

[16]
The following is a GGA-PBE calculation of crystalline DyGe6Pd12 at its relaxed geometry, from the Alexandria database.

Summary:
Energy relative to the elements   -474.0 meV/atom

Cell and atoms, written as POSCAR:
```
DyGe6Pd12
1.0
-7.225 -0.196 -0.414
2.362 -5.721 -3.756
1.632 -1.354 6.922
Dy Ge Pd
1 6 12
direct
0.000 0.000 0.000
0.697 0.259 0.259
0.259 0.259 0.697
0.259 0.697 0.259
0.741 0.741 0.303
0.303 0.741 0.741
0.741 0.303 0.741
0.878 0.122 0.500
0.839 0.586 0.586
0.586 0.586 0.839
0.414 0.161 0.414
0.414 0.414 0.161
0.161 0.414 0.414
0.122 0.500 0.878
0.500 0.878 0.122
0.122 0.878 0.500
0.878 0.500 0.122
0.500 0.122 0.878
0.586 0.839 0.586
```

***

[17]
The following is a GGA-PBE calculation of crystalline MgMnBeAu2 at its relaxed geometry, from the Alexandria database.

Summary:
Energy relative to the elements   1020.8 meV/atom

Cell and atoms, written as POSCAR:
```
MgMnBeAu2
1.0
-0.240 -4.787 -0.999
3.288 0.578 -3.559
3.610 -0.848 3.197
Be Mg Mn Au
1 1 1 2
direct
0.500 0.500 0.500
0.000 0.500 0.000
0.000 0.000 0.000
0.000 0.000 0.500
0.500 0.000 0.000
```

***

[18]
The following is a GGA-PBE calculation of crystalline Hf2ZrSe at its relaxed geometry, from the Alexandria database.

Summary:
Uncorrected formation energy   -0.448 eV/atom

Cell and atoms, written as POSCAR:
```
Hf2ZrSe
1.0
-2.176 2.123 1.455
-2.811 -1.187 1.431
2.619 -0.565 8.644
Hf Zr Se
2 1 1
direct
0.074 0.074 0.777
0.259 0.259 0.223
0.499 0.499 0.502
0.667 0.667 0.998
```

***

[19]
The following is a GGA-PBE calculation of crystalline SmAlCu at its relaxed geometry, from the Alexandria database.

Summary:
Energy relative to the elements   -229.4 meV/atom

Cell and atoms, written as POSCAR:
```
SmAlCu
1.0
-1.487 3.235 -2.849
-2.445 -1.146 -3.674
-4.443 1.007 -0.187
Cu Sm Al
1 1 1
direct
0.250 0.250 0.250
0.500 0.500 0.500
0.000 0.000 0.000
```

***

[20]
The following is a GGA-PBE calculation of crystalline TmThRh at its relaxed geometry, from the Alexandria database.

Summary:
Energy relative to the elements   -483.1 meV/atom
ΔE to the lowest computed polymorph   0.107 eV per atom

Cell and atoms, written as POSCAR:
```
TmThRh
1.0
-3.526 -0.222 3.359
-4.564 -1.087 -1.325
-1.933 -4.305 1.223
Tm Rh Th
1 1 1
direct
0.000 0.000 0.000
0.250 0.250 0.250
0.500 0.500 0.500
```

***

[21]
The following is a GGA-PBE calculation of crystalline KZrTeN2 at its relaxed geometry, from the Alexandria database.

Summary:
Uncorrected formation energy   0.125 eV/atom
ΔE to the lowest computed polymorph   0.000 eV per atom

Cell and atoms, written as POSCAR:
```
KZrTeN2
1.0
-0.728 2.731 3.479
-2.914 -2.949 1.705
4.286 -2.556 2.903
K Te Zr N
1 1 1 2
direct
0.500 0.500 0.500
0.000 0.000 0.500
0.000 0.000 0.000
0.000 0.500 0.000
0.500 0.000 0.000
```

***

[22]
The following is a GGA-PBE calculation of crystalline CaY2Ni at its relaxed geometry, from the Alexandria database.

Summary:
Energy relative to the elements   -137.8 meV/atom
ΔE to the lowest computed polymorph   0.000 eV per atom

Cell and atoms, written as POSCAR:
```
CaY2Ni
1.0
3.458 0.011 0.000
-0.016 3.458 0.000
0.000 0.000 9.376
Y Ni Ca
2 1 1
direct
0.000 0.000 0.922
0.000 0.000 0.578
0.500 0.500 0.750
0.500 0.500 0.250
```

***

[23]
The following is a GGA-PBE calculation of crystalline Ta2SiAg at its relaxed geometry, from the Alexandria database.

Summary:
Uncorrected formation energy   0.099 eV/atom

Cell and atoms, written as POSCAR:
```
Ta2SiAg
1.0
4.161 0.000 0.000
0.000 4.007 0.000
0.000 0.000 4.007
Ag Si Ta
1 1 2
direct
0.500 0.500 0.000
0.500 0.000 0.500
0.000 0.000 0.000
0.000 0.500 0.500
```

***

[24]
The following is a GGA-PBE calculation of crystalline Ca3GaGe2N at its relaxed geometry, from the Alexandria database.

Summary:
Uncorrected formation energy   -0.444 eV/atom

Cell and atoms, written as POSCAR:
```
Ca3GaGe2N
1.0
3.858 0.000 0.000
0.000 4.931 0.000
-1.929 -2.465 8.108
Ca Ga Ge N
3 1 2 1
direct
0.000 0.500 0.000
0.162 0.162 0.325
0.838 0.838 0.675
0.500 0.000 0.000
0.645 0.645 0.290
0.355 0.355 0.710
0.000 0.000 0.000
```

***

[25]
The following is a GGA-PBE calculation of crystalline Pd2Br3N2 at its relaxed geometry, from the Alexandria database.

Summary:
Uncorrected formation energy   -0.051 eV/atom

Cell and atoms, written as POSCAR:
```
Pd2Br3N2
1.0
2.352 0.416 2.929
1.836 6.402 4.904
0.954 -1.005 15.934
Pd Br N
2 3 2
direct
0.798 0.290 0.932
0.202 0.710 0.068
0.500 0.000 0.000
0.620 0.493 0.188
0.380 0.507 0.812
0.606 0.986 0.452
0.394 0.014 0.548
```

***

[26]
The following is a GGA-PBE calculation of crystalline SrThTe2 at its relaxed geometry, from the Alexandria database.

Summary:
Uncorrected formation energy   -1.268 eV/atom
ΔE to the lowest computed polymorph   0.030 eV per atom

Cell and atoms, written as POSCAR:
```
SrThTe2
1.0
-3.011 -0.441 -3.067
-2.988 -3.103 0.336
-7.033 4.118 3.270
Sr Th Te
1 1 2
direct
0.497 0.497 0.509
0.669 0.669 0.994
0.081 0.081 0.758
0.254 0.254 0.239
```

***

no.,final energy (eV/f.u.)
1,-25.35
2,-48.31
3,-17.21
4,-29.90
5,-14.10
6,-9.11
7,-5.29
8,-28.71
9,-20.74
10,-13.14
11,-57.54
12,-41.22
13,-15.80
14,-11.36
15,-17.02
16,-103.63
17,-15.94
18,-33.73
19,-13.25
20,-20.69
21,-28.81
22,-21.26
23,-31.58
24,-29.70
25,-32.42
26,-20.46